DFT (meta-GGA SCAN) results for TaMo2Cl at its PBEsol-relaxed geometry.

Summary:
- DFT total energy (eV/atom) = -35.57
- E above lowest polymorph (eV/atom) = 0.000
- formation energy (no corrections) (eV/atom) = 0.516
- SG = P4/mmm, No. 123
- size of the total moment (μB per atom) = 0.000

a = 2.842 Å, b = 2.842 Å, c = 7.711 Å
α = 90.00°, β = 90.00°, γ = 90.00°
Fractional positions:
Ta  0.000  0.000  0.000
Mo  0.500  0.500  0.272
Mo  0.500  0.500  0.728
Cl  0.000  0.000  0.500

***

DFT (meta-GGA SCAN) results for BaY2OsCl at its PBEsol-relaxed geometry.

Summary:
- DFT total energy (eV/atom) = -35.04
- formation energy (no corrections) (eV/atom) = -0.017
- SG = P4/mmm, No. 123
- size of the total moment (μB per atom) = 0.014

a = 5.163 Å, b = 5.163 Å, c = 6.416 Å
α = 90.00°, β = 90.00°, γ = 90.00°
Fractional positions:
Ba  0.000  0.000  0.000
Y  0.000  0.500  0.500
Y  0.500  0.000  0.500
Os  0.500  0.500  0.500
Cl  0.500  0.500  0.000

***

DFT (meta-GGA SCAN) results for LaTiS2 at its PBEsol-relaxed geometry.

Summary:
- DFT total energy (eV/atom) = -20.92
- formation energy (no corrections) (eV/atom) = -1.323
- SG = R-3m, No. 166
- size of the total moment (μB per atom) = 0.178

a = 8.625 Å, b = 8.625 Å, c = 8.625 Å
α = 23.43°, β = 23.43°, γ = 23.43°
Fractional positions:
La  0.000  0.000  0.000
Ti  0.500  0.500  0.500
S  0.111  0.111  0.111
S  0.889  0.889  0.889

***

DFT (meta-GGA SCAN) results for BiP2OsRh at its PBEsol-relaxed geometry.

Summary:
- DFT total energy (eV/atom) = -39.93
- DFT formation energy (eV per formula unit) = 5.4
- SG = P4/mmm, No. 123
- size of the total moment (μB per atom) = 0.400

a = 4.361 Å, b = 4.361 Å, c = 5.151 Å
α = 90.00°, β = 90.00°, γ = 90.00°
Fractional positions:
Bi  0.000  0.000  0.000
P  0.000  0.500  0.500
P  0.500  0.000  0.500
Os  0.500  0.500  0.000
Rh  0.500  0.500  0.500

***

DFT (meta-GGA SCAN) results for NbGe2IrRh at its PBEsol-relaxed geometry.

Summary:
- DFT total energy (eV/atom) = -33.91
- DFT formation energy (eV per formula unit) = 6.6
- SG = P4/mmm, No. 123
- size of the total moment (μB per atom) = 0.369

a = 4.807 Å, b = 4.807 Å, c = 4.674 Å
α = 90.00°, β = 90.00°, γ = 90.00°
Fractional positions:
Nb  0.000  0.000  0.000
Ge  0.000  0.500  0.000
Ge  0.500  0.000  0.000
Ir  0.000  0.000  0.500
Rh  0.500  0.500  0.500

***

DFT (meta-GGA SCAN) results for Ti2NbPt at its PBEsol-relaxed geometry.

Summary:
- DFT total energy (eV/atom) = -34.55
- DFT formation energy (eV per formula unit) = -2.8
- SG = Fm-3m, No. 225
- size of the total moment (μB per atom) = 0.000

a = 4.444 Å, b = 4.444 Å, c = 4.444 Å
α = 60.00°, β = 60.00°, γ = 60.00°
Fractional positions:
Ti  0.250  0.250  0.250
Ti  0.750  0.750  0.750
Nb  0.000  0.000  0.000
Pt  0.500  0.500  0.500

***

DFT (meta-GGA SCAN) results for CuAgGeI2 at its PBEsol-relaxed geometry.

Summary:
- DFT total energy (eV/atom) = -26.99
- formation energy (no corrections) (eV/atom) = 0.838
- SG = P4/mmm, No. 123
- size of the total moment (μB per atom) = 0.000

a = 5.519 Å, b = 5.519 Å, c = 4.710 Å
α = 90.00°, β = 90.00°, γ = 90.00°
Fractional positions:
Cu  0.000  0.000  0.000
Ag  0.000  0.000  0.500
Ge  0.500  0.500  0.000
I  0.000  0.500  0.500
I  0.500  0.000  0.500

***

DFT (meta-GGA SCAN) results for ScCo at its PBEsol-relaxed geometry.

Summary:
- DFT total energy (eV/atom) = -15.57
- DFT formation energy (eV per formula unit) = 0.4
- SG = P6_3/mmc, No. 194
- size of the total moment (μB per atom) = 0.377

a = 3.021 Å, b = 3.021 Å, c = 7.693 Å
α = 90.00°, β = 90.00°, γ = 120.00°
Fractional positions:
Sc  0.000  0.000  0.000
Sc  0.000  0.000  0.500
Co  0.333  0.667  0.250
Co  0.667  0.333  0.750

***

DFT (meta-GGA SCAN) results for BaAgIr2 at its PBEsol-relaxed geometry.

Summary:
- DFT total energy (eV/atom) = -52.39
- E above lowest polymorph (eV/atom) = 0.038
- DFT formation energy (eV per formula unit) = 3.6
- SG = F-43m, No. 216
- size of the total moment (μB per atom) = 0.183

a = 4.806 Å, b = 4.806 Å, c = 4.806 Å
α = 60.00°, β = 60.00°, γ = 60.00°
Fractional positions:
Ba  0.000  0.000  0.000
Ag  0.250  0.250  0.250
Ir  0.500  0.500  0.500
Ir  0.750  0.750  0.750

***

DFT (meta-GGA SCAN) results for NaTaIn2Ga at its PBEsol-relaxed geometry.

Summary:
- DFT total energy (eV/atom) = -30.47
- DFT formation energy (eV per formula unit) = 1.6
- SG = P4/mmm, No. 123
- size of the total moment (μB per atom) = 0.000

a = 5.366 Å, b = 5.366 Å, c = 5.043 Å
α = 90.00°, β = 90.00°, γ = 90.00°
Fractional positions:
Na  0.000  0.000  0.000
Ta  0.500  0.500  0.500
In  0.000  0.500  0.500
In  0.500  0.000  0.500
Ga  0.500  0.500  0.000

***

DFT (meta-GGA SCAN) results for HgWAu2 at its PBEsol-relaxed geometry.

Summary:
- DFT total energy (eV/atom) = -68.50
- DFT formation energy (eV per formula unit) = 2.1
- SG = Pmm2, No. 25
- size of the total moment (μB per atom) = 0.000

a = 2.811 Å, b = 4.077 Å, c = 6.035 Å
α = 90.00°, β = 90.00°, γ = 90.00°
Fractional positions:
Hg  0.000  0.000  0.000
W  0.500  0.500  0.269
Au  0.000  0.000  0.480
Au  0.500  0.500  0.741